[1]
Rb2IrPt after structural relaxation, computed with GGA-PBE.

The symmetry is Fm-3m. The calculation puts the size of the total moment at 1.958 μB per cell. The value obtained for the energy above the most stable polymorph in this dataset is 767 meV per atom. As for the density of states at the Fermi level: 2.235 states/eV/atom.

Cell: 5.5978 5.5978 5.5978 Å, 60.00 60.00 60.00°
Last column: magnetic moment on the atom in μB.
Sites, in units of the cell vectors:
Pt 0.5000 0.5000 0.5000  0.26
Ir 0.0000 0.0000 0.0000  1.52
Rb 0.7500 0.7500 0.7500  0.00
Rb 0.2500 0.2500 0.2500  0.00

[2]
LiHo3Au2 after structural relaxation, computed with GGA-PBE.

The total energy is -25.7 eV per formula unit. The symmetry is P-3m1. The calculation puts the size of the total moment at 0.000 μB per cell. As for the density of states at the Fermi level: 0.752 states/eV/atom.

Cell: 5.0469 5.0469 12.6397 Å, 90.00 90.00 120.00°
Sites, in units of the cell vectors:
Au 0.0000 0.0000 0.5000
Au 0.6667 0.3333 0.8091
Au 0.3333 0.6667 0.1909
Au 0.0000 0.0000 0.0000
Li 0.3333 0.6667 0.6749
Li 0.6667 0.3333 0.3251
Ho 0.0000 0.0000 0.2433
Ho 0.3333 0.6667 0.4208
Ho 0.6667 0.3333 0.5792
Ho 0.0000 0.0000 0.7567
Ho 0.3333 0.6667 0.9225
Ho 0.6667 0.3333 0.0775

[3]
LaIn6Ag12 after structural relaxation, computed with GGA-PBE.

The total energy is -55.5 eV per formula unit. The symmetry is R-3m. The calculation puts the size of the total moment at 0.000 μB per cell. As for the density of states at the Fermi level: 0.248 states/eV/atom.

Cell: 7.8220 7.8220 7.8220 Å, 104.67 104.67 104.67°
Sites, in units of the cell vectors:
Ag 0.1109 0.5000 0.8891
Ag 0.3629 0.1207 0.3629
Ag 0.3629 0.3629 0.1207
Ag 0.8793 0.6371 0.6371
Ag 0.8891 0.1109 0.5000
Ag 0.6371 0.8793 0.6371
Ag 0.5000 0.1109 0.8891
Ag 0.1109 0.8891 0.5000
Ag 0.8891 0.5000 0.1109
Ag 0.1207 0.3629 0.3629
Ag 0.5000 0.8891 0.1109
Ag 0.6371 0.6371 0.8793
La 0.0000 0.0000 0.0000
In 0.7100 0.7100 0.2977
In 0.2900 0.7023 0.2900
In 0.7023 0.2900 0.2900
In 0.7100 0.2977 0.7100
In 0.2977 0.7100 0.7100
In 0.2900 0.2900 0.7023